Density functional theory data (PBE+U) for a relaxed NiGeTeO6 crystal.

POSCAR file:
```
NiGeTeO6
1.0
5.0312 0.0000 0.0000
-2.5156 4.3571 0.0000
0.0000 0.0000 9.0543
Ni Ge Te O
2 2 2 12
direct
0.0000 0.0000 0.0000 Ni
0.0000 0.0000 0.5000 Ni
0.6667 0.3333 0.2500 Ge
0.3333 0.6667 0.7500 Ge
0.3333 0.6667 0.2500 Te
0.6667 0.3333 0.7500 Te
0.6469 0.6421 0.1334 O
0.9952 0.3531 0.1334 O
0.3531 0.9952 0.6334 O
0.0048 0.6469 0.8666 O
0.3579 0.3531 0.3666 O
0.9952 0.6421 0.3666 O
0.6421 0.9952 0.8666 O
0.6469 0.0048 0.3666 O
0.0048 0.3579 0.6334 O
0.3579 0.0048 0.1334 O
0.6421 0.6469 0.6334 O
0.3531 0.3579 0.8666 O
```

Results
Uncorrected energy = -5.66 eV/atom
Volume = 198 Å³/cell